First-principles (GGA-PBE) data for a relaxed structure of EuDyAu, as listed in Alexandria via LeMat-Bulk.

Properties
The energy of formation is -1.155 eV per formula unit. As for the space group: P3m1, No. 156.

Lattice parameters (Å, degrees): 4.132 4.958 4.958 120.00 90.00 90.00
Sites, in units of the cell vectors:
Eu 0.693 0.333 0.667
Dy 0.209 0.667 0.333
Au 0.099 0.000 0.000

=====

First-principles (GGA-PBE) data for a relaxed structure of SrRe2Cl, as listed in Alexandria via LeMat-Bulk.

Properties
The calculation puts the raw formation energy at 0.423 eV per atom. As for the space group: P4/mmm, No. 123.

Lattice parameters (Å, degrees): 6.661 3.708 3.708 90.00 90.00 90.00
Sites, in units of the cell vectors:
Re 0.000 0.500 0.500
Re 0.000 0.000 0.000
Cl 0.500 0.000 0.500
Sr 0.500 0.500 0.000

=====

| no. | calculated total energy (eV per formula unit) | ΔE to the lowest computed polymorph (meV/atom) | calculated density (Mg/m³) |
| --- | --- | --- | --- |
| 1 | -19.31 | 150 | 9.65 |
| 2 | -26.73 | 441 | 8.98 |